{"formula": "TaAl2NiS", "functional": "GGA-PBEsol", "state": "relaxed", "e_tot_ev_per_cell": -30.0, "lattice": [[4.302, 0.000, 0.000], [0.000, 4.302, 0.000], [0.000, 0.000, 4.711]], "species": ["Ni", "S", "Al", "Al", "Ta"], "fractional_positions": [[0.000, 0.000, 0.000], [0.500, 0.500, 0.500], [0.000, 0.500, 0.000], [0.500, 0.000, 0.000], [0.000, 0.000, 0.500]]}

=====

{"formula": "Ca3Ni", "functional": "GGA-PBEsol", "state": "relaxed", "e_tot_ev_per_cell": -51.1, "e_form_ev_per_atom": -0.053, "lattice": [[-6.002, -2.389, 0.266], [2.000, -5.536, -4.589], [2.453, -5.327, 7.496]], "species": ["Ca", "Ca", "Ca", "Ca", "Ca", "Ca", "Ca", "Ca", "Ca", "Ca", "Ca", "Ca", "Ni", "Ni", "Ni", "Ni"], "fractional_positions": [[0.148, 0.045, 0.750], [0.648, 0.455, 0.250], [0.352, 0.545, 0.750], [0.852, 0.955, 0.250], [0.665, 0.170, 0.931], [0.165, 0.330, 0.069], [0.835, 0.670, 0.569], [0.335, 0.830, 0.431], [0.335, 0.830, 0.069], [0.835, 0.670, 0.931], [0.165, 0.330, 0.431], [0.665, 0.170, 0.569], [0.545, 0.877, 0.750], [0.045, 0.623, 0.250], [0.955, 0.377, 0.750], [0.455, 0.123, 0.250]]}

=====

{"formula": "AlTl2As", "functional": "GGA-PBEsol", "state": "relaxed", "e_tot_ev_per_cell": -13.5, "e_form_ev_per_atom": 0.230, "lattice": [[4.701, 0.000, 0.000], [0.000, 4.701, 0.000], [-2.350, -2.350, 4.275]], "species": ["Tl", "Tl", "As", "Al"], "fractional_positions": [[0.000, 0.000, 0.000], [0.750, 0.250, 0.500], [0.250, 0.750, 0.500], [0.500, 0.500, 0.000]]}

=====

Copy entry 3 word for word.
{"formula": "AlTl2As", "functional": "GGA-PBEsol", "state": "relaxed", "e_tot_ev_per_cell": -13.5, "e_form_ev_per_atom": 0.230, "lattice": [[4.701, 0.000, 0.000], [0.000, 4.701, 0.000], [-2.350, -2.350, 4.275]], "species": ["Tl", "Tl", "As", "Al"], "fractional_positions": [[0.000, 0.000, 0.000], [0.750, 0.250, 0.500], [0.250, 0.750, 0.500], [0.500, 0.500, 0.000]]}

=====

What is the formula in the first record? TaAl2NiS